Entry from Alexandria: a geometry-optimized Y2Cu structure (PBEsol).

- spin magnetization (μB per formula unit) = 0.0
- total DFT energy (no corrections) (eV/atom) = -6.102
- ΔH_f (0 K) (eV per atom) = -0.11

abc: 3.4995 5.0774 8.1346
angles: 90.00 102.42 90.00
Last column: nearest neighbours and their distance in Å.
Sites, in units of the cell vectors:
1 Cu 0.9264 0.7500 0.8529  8 Y 2.87-3.08
2 Cu 0.0736 0.2500 0.1471  8 Y 2.87-3.08
3 Y 0.5756 0.7500 0.1512  6 Cu 2.95-3.08
4 Y 0.4244 0.2500 0.8488  6 Cu 2.95-3.08
5 Y 0.2835 0.7500 0.5669  2 Cu 2.87
6 Y 0.7165 0.2500 0.4331  2 Cu 2.87

---

Entry from Alexandria: a geometry-optimized Y3ZnCu structure (PBEsol).

- spin magnetization (μB per formula unit) = 0.9
- total DFT energy (no corrections) (eV/atom) = -4.751
- ΔH_f (0 K) (eV per atom) = 0.53

abc: 5.2873 5.2873 5.2873
angles: 90.00 90.00 90.00
Last column: nearest neighbours and their distance in Å.
Sites, in units of the cell vectors:
1 Y 0.0000 0.5000 0.0000  2 Zn 2.64
2 Y 0.0000 0.0000 0.5000  2 Zn 2.64
3 Y 0.5000 0.0000 0.0000  2 Zn 2.64
4 Zn 0.0000 0.0000 0.0000  6 Y 2.64
5 Cu 0.5000 0.5000 0.5000  12 Y 3.74

---

Entry from Alexandria: a geometry-optimized YZr2Cu structure (PBEsol).

- spin magnetization (μB per formula unit) = 0.0
- total DFT energy (no corrections) (eV/atom) = -7.393
- ΔH_f (0 K) (eV per atom) = -0.06

abc: 3.2460 3.2460 8.0503
angles: 90.00 90.00 90.00
Last column: nearest neighbours and their distance in Å.
Sites, in units of the cell vectors:
1 Y 0.5000 0.5000 0.7163  4 Cu 3.00, 4 Y 3.25
2 Cu 0.0000 0.0000 0.4760  4 Zr 2.77, 4 Y 3.00
3 Zr 0.0000 0.0000 0.0243  8 Zr 3.10-3.25, 4 Y 3.38
4 Zr 0.5000 0.5000 0.2834  4 Cu 2.77, 4 Zr 3.10

---

Entry from Alexandria: a geometry-optimized YZr2Cu structure (PBEsol).

- spin magnetization (μB per formula unit) = 0.0
- total DFT energy (no corrections) (eV/atom) = -7.384
- ΔH_f (0 K) (eV per atom) = -0.05

abc: 3.2662 4.9039 6.0918
angles: 113.73 105.55 90.00
Last column: nearest neighbours and their distance in Å.
Sites, in units of the cell vectors:
1 Y 0.0000 0.5000 0.0000  4 Cu 2.95, 2 Y 3.27
2 Cu 0.5000 0.0000 0.0000  4 Zr 2.79, 4 Y 2.95
3 Zr 0.7876 0.7876 0.5752  2 Cu 2.79, 4 Zr 3.05
4 Zr 0.2124 0.2124 0.4248  2 Cu 2.79, 4 Zr 3.05

---

Entry from Alexandria: a geometry-optimized YZrCu structure (PBEsol).

- spin magnetization (μB per formula unit) = 0.7
- total DFT energy (no corrections) (eV/atom) = -6.467
- ΔH_f (0 K) (eV per atom) = 0.28

abc: 4.5946 4.5946 4.5946
angles: 60.00 60.00 60.00
Last column: nearest neighbours and their distance in Å.
Sites, in units of the cell vectors:
1 Cu 0.2500 0.2500 0.2500  4 Zr 2.81, 4 Y 2.81
2 Y 0.0000 0.0000 0.0000  4 Cu 2.81
3 Zr 0.5000 0.5000 0.5000  4 Cu 2.81

---

Entry from Alexandria: a geometry-optimized YZr2Cu structure (PBEsol).

- spin magnetization (μB per formula unit) = 0.0
- total DFT energy (no corrections) (eV/atom) = -7.182
- ΔH_f (0 K) (eV per atom) = 0.15

abc: 3.2259 5.0978 5.2066
angles: 90.00 98.53 90.00
Last column: nearest neighbours and their distance in Å.
Sites, in units of the cell vectors:
1 Cu 0.5000 0.5000 0.0000  2 Y 2.85, 4 Zr 2.91
2 Y 0.0000 0.5000 0.5000  2 Cu 2.85, 4 Zr 3.16
3 Zr 0.6793 0.0000 0.7694  3 Zr 2.82-2.93, 2 Cu 2.91
4 Zr 0.3207 0.0000 0.2306  3 Zr 2.82-2.93, 2 Cu 2.91